Record 1
Computed, not measured: a geometry-optimized NaTa2Cl8 structure at the PBE level of DFT.

Computed properties:
formation energy without anion corrections: -1.25 eV/atom
M_tot: 0.00 μB per atom
energy: -53.55 eV per formula unit

a b c (Å): 7.3445 7.3445 6.8635
angles (deg): 94.79 94.79 52.47
Last column: nearest neighbours and their distance in Å.
Element x y z (fractional)
Na (0.0000, 0.0000, 0.0000)  2 Cl 2.70
Ta (0.2511, 0.2511, 0.4972)  6 Cl 2.32-2.52
Ta (0.7489, 0.7489, 0.5028)  6 Cl 2.32-2.52
Cl (0.1194, 0.6269, 0.6710)  2 Ta 2.49-2.52
Cl (0.1593, 0.1593, 0.7789)  1 Ta 2.37
Cl (0.3504, 0.3504, 0.2348)  1 Ta 2.32
Cl (0.3731, 0.8806, 0.3290)  2 Ta 2.49-2.52
Cl (0.6269, 0.1194, 0.6710)  2 Ta 2.49-2.52
Cl (0.6496, 0.6496, 0.7652)  1 Ta 2.32
Cl (0.8407, 0.8407, 0.2211)  1 Ta 2.37
Cl (0.8806, 0.3731, 0.3290)  2 Ta 2.49-2.52

---

Record 2
Computed, not measured: a geometry-optimized Ba2Li5Ag5 structure at the PBE level of DFT.

Computed properties:
energy relative to the elements: -0.19 eV per atom
M_tot: 0.00 μB per atom
energy: -29.92 eV per formula unit

a b c (Å): 4.5547 5.8069 10.6975
angles (deg): 90.00 90.00 90.00
Last column: nearest neighbours and their distance in Å.
Element x y z (fractional)
Ba (0.0000, 0.0000, 0.0000)  10 Ag 3.47-3.69, 8 Li 3.76
Ba (0.0000, 0.5000, 0.5000)  6 Ag 3.45-3.46, 12 Li 3.69-3.84
Li (0.5000, 0.0000, 0.5000)  4 Ag 2.95, 4 Li 3.12
Li (0.5000, 0.2546, 0.2435)  5 Ag 2.78-2.97, 2 Li 2.85-2.96
Li (0.5000, 0.2546, 0.7565)  5 Ag 2.78-2.97, 2 Li 2.85-2.96
Li (0.5000, 0.7454, 0.2435)  5 Ag 2.78-2.97, 2 Li 2.85-2.96
Li (0.5000, 0.7454, 0.7565)  5 Ag 2.78-2.97, 2 Li 2.85-2.96
Ag (0.0000, 0.0000, 0.3242)  6 Li 2.85-2.95
Ag (0.0000, 0.0000, 0.6758)  6 Li 2.85-2.95
Ag (0.0000, 0.5000, 0.1776)  4 Li 2.78, 2 Ag 2.97
Ag (0.0000, 0.5000, 0.8224)  4 Li 2.78, 2 Ag 2.97
Ag (0.5000, 0.5000, 0.0000)  4 Ag 2.97, 4 Li 2.97

---

Record 3
Computed, not measured: a geometry-optimized KVSe3 structure at the PBE level of DFT.

Computed properties:
formation energy without anion corrections: -0.59 eV/atom
energy above the lowest structure with this stoichiometry: 0.2198 eV per atom
M_tot: 0.09 μB per atom
energy: -23.60 eV per formula unit

a b c (Å): 4.9575 4.9575 4.9575
angles (deg): 90.00 90.00 90.00
Last column: nearest neighbours and their distance in Å.
Element x y z (fractional)
K (0.0000, 0.0000, 0.0000)  12 Se 3.51
V (0.5000, 0.5000, 0.5000)  6 Se 2.48
Se (0.0000, 0.5000, 0.5000)  2 V 2.48
Se (0.5000, 0.0000, 0.5000)  2 V 2.48
Se (0.5000, 0.5000, 0.0000)  2 V 2.48

---

Record 4
Computed, not measured: a geometry-optimized NaPb2F8 structure at the PBE level of DFT.

Computed properties:
formation energy without anion corrections: -2.09 eV/atom
energy above the lowest structure with this stoichiometry: 0.0000 eV per atom
M_tot: 0.00 μB per atom
energy: -46.73 eV per formula unit

a b c (Å): 6.6763 6.6763 4.3225
angles (deg): 92.82 92.82 116.72
Last column: nearest neighbours and their distance in Å.
Element x y z (fractional)
Na (0.0000, 0.0000, 0.0000)  4 F 2.20
Pb (0.3311, 0.6689, 0.0000)  8 F 2.23-2.42
Pb (0.6689, 0.3311, 0.0000)  8 F 2.23-2.42
F (0.0348, 0.3428, 0.0806)  1 Na 2.20, 2 Pb 2.25-2.42
F (0.2817, 0.7183, 0.5000)  2 Pb 2.23
F (0.3428, 0.0348, 0.0806)  1 Na 2.20, 2 Pb 2.25-2.42
F (0.3893, 0.3893, 0.7527)  2 Pb 2.30, 1 F 2.52
F (0.6107, 0.6107, 0.2473)  2 Pb 2.30, 1 F 2.52
F (0.6572, 0.9652, 0.9194)  1 Na 2.20, 2 Pb 2.25-2.42
F (0.7183, 0.2817, 0.5000)  2 Pb 2.23
F (0.9652, 0.6572, 0.9194)  1 Na 2.20, 2 Pb 2.25-2.42

---

Record 5
Computed, not measured: a geometry-optimized SrCd2As structure at the PBE level of DFT.

Computed properties:
energy relative to the elements: -0.40 eV per atom
M_tot: 0.00 μB per atom
energy: -9.77 eV per formula unit

a b c (Å): 4.4914 4.4914 7.0056
angles (deg): 108.55 108.55 59.83
Last column: nearest neighbours and their distance in Å.
Element x y z (fractional)
Sr (0.0000, 0.0000, 0.0000)  3 As 3.14, 3 Cd 3.39-3.40
Cd (0.5214, 0.5214, 0.5622)  3 As 2.81, 3 Cd 2.97-2.98
Cd (0.7787, 0.7787, 0.3367)  3 Cd 2.97-2.98
As (0.2437, 0.2437, 0.7285)  3 Cd 2.81, 3 Sr 3.14

---

Record 6
Computed, not measured: a geometry-optimized BeCo2Cu structure at the PBE level of DFT.

Computed properties:
energy relative to the elements: 0.01 eV per atom
M_tot: 0.50 μB per atom
energy: -22.01 eV per formula unit

a b c (Å): 8.0114 8.0114 8.0114
angles (deg): 17.63 17.63 17.63
Last column: nearest neighbours and their distance in Å.
Element x y z (fractional)
Be (0.0000, 0.0000, 0.0000)  6 Co 2.30, 6 Be 2.46
Co (0.2570, 0.2570, 0.2570)  3 Be 2.30, 6 Co 2.46, 3 Cu 2.56
Co (0.7430, 0.7430, 0.7430)  3 Be 2.30, 6 Co 2.46, 3 Cu 2.56
Cu (0.5000, 0.5000, 0.5000)  6 Cu 2.46, 6 Co 2.56

---

Q: energy of number 2 (Ba2Li5Ag5)?
A: -29.92 eV per formula unit

---

Q: Number 5 is which compound?
A: SrCd2As